Here is a geometry-optimized SmTmTlAg structure from the Alexandria database. Energies are from GGA-PBE.

Cell: 3.657 3.657 7.769 Å, 90.00 90.00 90.00°
Element x y z (fractional)
Tl 0.500 0.500 0.119
Ag 0.500 0.500 0.587
Tm 0.000 0.000 0.377
Sm 0.000 0.000 0.846

Values from the calculation:
DFT formation energy in meV/atom: -333
Distance to the lowest polymorph of the same formula in meV per atom: 0
E_tot in eV per atom: -3.935
SG: No. 99